The following is a DFT calculation (PBE-GGA) of LaCu2Au2 after structural relaxation.

```
5
Lattice="-2.766 -2.896 -0.836 0.137 -1.254 3.892 -5.776 1.783 2.927" Properties=species:S:1:pos:R:3 pbc="T T T"
Au -6.059 -1.184 4.131
Cu -3.477 -0.773 4.173
La 0.000 0.000 0.000
Au -2.346 -1.183 1.851
Cu -4.928 -1.594 1.810
```

Properties
**Final energy**: -4.314 eV per atom
**Calculated formation energy**: -0.38 eV per atom
**Space-group type**: I4/mmm, No. 139
**DOS(E_F)**: 2.62 states/eV/cell
**Total magnetization**: 0.0 μB/cell